1.
Here is an optimized crystal structure of SrAu4 from the Alexandria database. Energies are from PBE.

The value obtained for the total moment is 0.0 μB per formula unit.

Unit cell a=8.4600 b=8.4600 c=8.4600 alpha=109.47 beta=109.47 gamma=109.47
Closest atoms and distances in Å follow each position.
Positions (direct):
Au 0.7884 0.7884 0.7884  6 Au 2.82-2.92, 1 Sr 3.05
Au 0.2116 0.0000 0.0000  6 Au 2.82-2.92, 1 Sr 3.05
Au 0.0000 0.2116 0.0000  6 Au 2.82-2.92, 1 Sr 3.05
Au 0.0000 0.0000 0.2116  6 Au 2.82-2.92, 1 Sr 3.05
Au 0.6478 0.6478 0.0000  7 Au 2.82-2.89
Au 0.3522 0.3522 0.0000  7 Au 2.82-2.89
Au 0.6478 0.0000 0.6478  7 Au 2.82-2.89
Au 0.3522 0.0000 0.3522  7 Au 2.82-2.89
Au 0.0000 0.6478 0.6478  7 Au 2.82-2.89
Au 0.0000 0.3522 0.3522  7 Au 2.82-2.89
Au 0.2499 0.7499 0.5000  4 Au 2.84
Au 0.7501 0.2501 0.5000  4 Au 2.84
Au 0.7499 0.5000 0.2499  4 Au 2.84
Au 0.2501 0.5000 0.7501  4 Au 2.84
Au 0.5000 0.2499 0.7499  4 Au 2.84
Au 0.5000 0.7501 0.2501  4 Au 2.84
Sr 0.4284 0.4284 0.4284  4 Au 3.05-3.25
Sr 0.5716 0.0000 0.0000  4 Au 3.05-3.25
Sr 0.0000 0.5716 0.0000  4 Au 3.05-3.25
Sr 0.0000 0.0000 0.5716  4 Au 3.05-3.25

2.
Here is an optimized crystal structure of NdDyPtAu from the Alexandria database. Energies are from PBE.

The value obtained for the total moment is 0.0 μB per formula unit.

Unit cell a=3.8528 b=4.6602 c=5.7504 alpha=90.00 beta=109.57 gamma=90.00
Closest atoms and distances in Å follow each position.
Positions (direct):
Nd 0.1397 0.0000 0.2793  3 Pt 2.94-3.14, 4 Au 3.08
Dy 0.8641 0.5000 0.7281  3 Au 3.02-3.08, 4 Pt 3.07
Pt 0.4110 0.0000 0.8221  3 Nd 2.94-3.14, 2 Au 3.00, 4 Dy 3.07
Au 0.5853 0.5000 0.1705  2 Pt 3.00, 3 Dy 3.02-3.08, 4 Nd 3.08

3.
Here is an optimized crystal structure of YCoSn2W from the Alexandria database. Energies are from PBE.

The value obtained for the total moment is 3.5 μB per formula unit.

Unit cell a=5.5997 b=4.4824 c=5.5997 alpha=90.00 beta=90.00 gamma=90.00
Closest atoms and distances in Å follow each position.
Positions (direct):
Y 0.0000 0.0000 0.0000  2 Co 2.24
Co 0.0000 0.5000 0.0000  2 Y 2.24
Sn 0.0000 0.0000 0.5000  2 Y 2.80
Sn 0.5000 0.0000 0.0000  2 Y 2.80
W 0.5000 0.5000 0.5000  8 Sn 3.59, 4 Co 3.96

no.,energy of formation from the pure elements (meV/atom),DOS at the Fermi energy (states/eV per cell)
1,-439,7.401
2,-1019,2.447
3,1908,7.183